Record 1
Below is a relaxed Nd4RhAu3 crystal, with properties calculated at the PBE level.

The space group is Pmm2 (No. 25) and the conventional cell measures 3.9130, 4.7377 and 11.0832 Å, with angles of 90.00, 90.00 and 90.00 degrees. The distinct sites, in fractional coordinates, are Nd at (0.0000, 0.0000, 0.0000), Nd at (0.0000, 0.5000, 0.2616), Nd at (0.5000, 0.0000, 0.4716), Nd at (0.5000, 0.5000, 0.7637), Rh at (0.5000, 0.0000, 0.2141), Au at (0.0000, 0.0000, 0.7119), Au at (0.0000, 0.5000, 0.5394) and Au at (0.5000, 0.5000, 0.0423).

As for the energy: -5.318 eV per atom. For the energy of formation, the calculation gives -18.1 kcal/mol of atoms. The calculated density is 10.27 g/cm3.



Record 2
Below is a relaxed PaBe2Pd crystal, with properties calculated at the PBE level.

The space group is R-3m (No. 166, hexagonal axes) and the conventional cell measures 3.8795, 3.8795 and 14.3312 Å, with angles of 90.00, 90.00 and 120.00 degrees. The distinct sites, in fractional coordinates, are Pa at (0.0000, 0.0000, 0.0000), Be at (0.0000, 0.0000, 0.2029) and Pd at (0.0000, 0.0000, 0.5000).

As for the energy: -5.724 eV per atom. For the energy of formation, the calculation gives -4.3 kcal/mol of atoms. The calculated density is 9.48 g/cm3.



Record 3
Below is a relaxed ZrCrB crystal, with properties calculated at the PBE level.

The space group is C2/m (No. 12) and the conventional cell measures 9.2858, 3.2728 and 6.2283 Å, with angles of 90.00, 124.82 and 90.00 degrees. The distinct sites, in fractional coordinates, are Zr at (0.0822, 0.0000, 0.3223), Cr at (0.2030, 0.5000, 0.0803) and B at (0.1150, 0.5000, 0.6526).

As for the energy: -8.698 eV per atom. For the energy of formation, the calculation gives -9.6 kcal/mol of atoms. The calculated density is 6.58 g/cm3.